(1)
{"formula": "NpIr2Ru", "functional": "PBE-GGA", "state": "relaxed", "space_group": "R-3m (166)", "delta_e_f_mev_per_atom": 125, "lattice": [[2.271, 1.311, 3.838], [-2.271, 1.311, 3.838], [0.000, -2.622, 3.838]], "species": ["Np", "Ir", "Ir", "Ru"], "frac_coords": [[0.000, 0.000, 0.000], [0.266, 0.266, 0.266], [0.734, 0.734, 0.734], [0.500, 0.500, 0.500]]}

=====

(2)
{"formula": "Cr5Ag", "functional": "PBE-GGA", "state": "relaxed", "space_group": "F-43m (216)", "delta_e_f_mev_per_atom": 412, "lattice": [[0.000, 3.370, 3.370], [3.370, 0.000, 3.370], [3.370, 3.370, 0.000]], "species": ["Cr", "Cr", "Cr", "Cr", "Cr", "Ag"], "frac_coords": [[0.000, 0.000, 0.000], [0.375, 0.375, 0.375], [0.375, 0.375, 0.875], [0.375, 0.875, 0.375], [0.875, 0.375, 0.375], [0.750, 0.750, 0.750]]}

=====

(3)
{"formula": "Ta2AsPt", "functional": "PBE-GGA", "state": "relaxed", "space_group": "Pm (6)", "delta_e_f_mev_per_atom": -373, "lattice": [[3.379, 0.000, 0.000], [0.000, 3.699, 0.000], [-1.687, 0.000, 5.529]], "species": ["Ta", "Ta", "As", "Pt"], "frac_coords": [[0.000, 0.000, 0.000], [0.347, 0.500, 0.698], [0.591, 0.500, 0.184], [0.741, 0.000, 0.488]]}

=====

(4)
{"formula": "MnBeNiOs", "functional": "PBE-GGA", "state": "relaxed", "space_group": "F-43m (216)", "delta_e_f_mev_per_atom": -67, "lattice": [[0.000, 2.838, 2.838], [2.838, 0.000, 2.838], [2.838, 2.838, 0.000]], "species": ["Mn", "Be", "Ni", "Os"], "frac_coords": [[0.000, 0.000, 0.000], [0.500, 0.500, 0.500], [0.250, 0.250, 0.250], [0.750, 0.750, 0.750]]}

=====

(5)
{"formula": "Dy5TmAl2", "functional": "PBE-GGA", "state": "relaxed", "space_group": "Immm (71)", "delta_e_f_mev_per_atom": -78, "lattice": [[-1.747, 5.137, 6.195], [1.747, -5.137, 6.195], [1.747, 5.137, -6.195]], "species": ["Dy", "Dy", "Dy", "Dy", "Dy", "Tm", "Al", "Al"], "frac_coords": [[0.000, 0.000, 0.000], [0.090, 0.363, 0.727], [0.363, 0.637, 0.727], [0.637, 0.363, 0.273], [0.910, 0.637, 0.273], [0.500, 0.000, 0.500], [0.262, 0.262, 0.000], [0.738, 0.738, 0.000]]}

=====

(6)
{"formula": "Li2YPb2", "functional": "PBE-GGA", "state": "relaxed", "space_group": "I4/mmm (139)", "delta_e_f_mev_per_atom": -349, "lattice": [[-2.162, 2.162, 6.447], [2.162, -2.162, 6.447], [2.162, 2.162, -6.447]], "species": ["Li", "Li", "Y", "Pb", "Pb"], "frac_coords": [[0.250, 0.750, 0.500], [0.750, 0.250, 0.500], [0.000, 0.000, 0.000], [0.386, 0.386, 0.000], [0.614, 0.614, 0.000]]}

=====

(7)
{"formula": "Cs2SrAuCl6", "functional": "PBE-GGA", "state": "relaxed", "raw_formation_energy_mev_per_atom": -1576, "space_group": "I4/mmm (139)", "lattice": [[-3.771, 3.771, 6.127], [3.771, -3.771, 6.127], [3.771, 3.771, -6.127]], "species": ["Cs", "Cs", "Sr", "Au", "Cl", "Cl", "Cl", "Cl", "Cl", "Cl"], "frac_coords": [[0.250, 0.750, 0.500], [0.750, 0.250, 0.500], [0.000, 0.000, 0.000], [0.500, 0.500, 0.000], [0.230, 0.230, 0.000], [0.270, 0.270, 0.540], [0.270, 0.730, 0.000], [0.730, 0.270, 0.000], [0.730, 0.730, 0.460], [0.770, 0.770, 0.000]]}

=====

(8)
{"formula": "TaMoW2", "functional": "PBE-GGA", "state": "relaxed", "space_group": "C2/m (12)", "delta_e_f_mev_per_atom": -102, "lattice": [[2.766, -4.527, 0.000], [2.766, 4.527, 0.000], [-0.933, 0.000, 2.630]], "species": ["Ta", "Mo", "W", "W"], "frac_coords": [[0.000, 0.000, 0.000], [0.500, 0.500, 0.000], [0.000, 0.500, 0.500], [0.500, 0.000, 0.500]]}

=====

(9)
{"formula": "Pu5Ge2Os", "functional": "PBE-GGA", "state": "relaxed", "space_group": "Pbam (55)", "delta_e_f_mev_per_atom": -294, "lattice": [[7.392, 0.000, 0.000], [0.000, 11.421, 0.000], [0.000, 0.000, 4.488]], "species": ["Pu", "Pu", "Pu", "Pu", "Pu", "Pu", "Pu", "Pu", "Pu", "Pu", "Ge", "Ge", "Ge", "Ge", "Os", "Os"], "frac_coords": [[0.000, 0.000, 0.000], [0.147, 0.283, 0.000], [0.202, 0.569, 0.500], [0.298, 0.069, 0.500], [0.353, 0.783, 0.000], [0.500, 0.500, 0.000], [0.647, 0.217, 0.000], [0.702, 0.931, 0.500], [0.798, 0.431, 0.500], [0.853, 0.717, 0.000], [0.084, 0.829, 0.500], [0.416, 0.329, 0.500], [0.584, 0.671, 0.500], [0.916, 0.171, 0.500], [0.000, 0.500, 0.000], [0.500, 0.000, 0.000]]}

=====

(10)
{"formula": "GdHoPdPb", "functional": "PBE-GGA", "state": "relaxed", "space_group": "F-43m (216)", "delta_e_f_mev_per_atom": -615, "lattice": [[0.000, 3.692, 3.692], [3.692, 0.000, 3.692], [3.692, 3.692, 0.000]], "species": ["Gd", "Ho", "Pd", "Pb"], "frac_coords": [[0.000, 0.000, 0.000], [0.500, 0.500, 0.500], [0.750, 0.750, 0.750], [0.250, 0.250, 0.250]]}

=====

(11)
{"formula": "Li4Ag4Bi3", "functional": "PBE-GGA", "state": "relaxed", "space_group": "Immm (71)", "delta_e_f_mev_per_atom": -226, "lattice": [[-2.168, 4.044, 6.705], [2.168, -4.044, 6.705], [2.168, 4.044, -6.705]], "species": ["Li", "Li", "Li", "Li", "Ag", "Ag", "Ag", "Ag", "Bi", "Bi", "Bi"], "frac_coords": [[0.176, 0.176, 0.000], [0.244, 0.000, 0.244], [0.756, 0.000, 0.756], [0.824, 0.824, 0.000], [0.067, 0.327, 0.741], [0.414, 0.673, 0.741], [0.586, 0.327, 0.259], [0.933, 0.673, 0.259], [0.000, 0.500, 0.500], [0.348, 0.848, 0.500], [0.652, 0.152, 0.500]]}

=====

(12)
{"formula": "HfCdNF2", "functional": "PBE-GGA", "state": "relaxed", "raw_formation_energy_mev_per_atom": -1755, "space_group": "P4/mmm (123)", "lattice": [[4.216, 0.000, 0.000], [0.000, 4.216, 0.000], [0.000, 0.000, 4.240]], "species": ["Hf", "Cd", "N", "F", "F"], "frac_coords": [[0.000, 0.000, 0.000], [0.500, 0.500, 0.500], [0.000, 0.000, 0.500], [0.000, 0.500, 0.000], [0.500, 0.000, 0.000]]}

=====

(13)
{"formula": "Tb4InPd12", "functional": "PBE-GGA", "state": "relaxed", "space_group": "Im-3m (229)", "delta_e_f_mev_per_atom": -818, "lattice": [[-4.285, 4.285, 4.285], [4.285, -4.285, 4.285], [4.285, 4.285, -4.285]], "species": ["Tb", "Tb", "Tb", "Tb", "In", "Pd", "Pd", "Pd", "Pd", "Pd", "Pd", "Pd", "Pd", "Pd", "Pd", "Pd", "Pd"], "frac_coords": [[0.000, 0.000, 0.500], [0.000, 0.500, 0.000], [0.500, 0.000, 0.000], [0.500, 0.500, 0.500], [0.000, 0.000, 0.000], [0.000, 0.300, 0.300], [0.000, 0.700, 0.700], [0.250, 0.500, 0.750], [0.250, 0.750, 0.500], [0.300, 0.000, 0.300], [0.300, 0.300, 0.000], [0.500, 0.250, 0.750], [0.500, 0.750, 0.250], [0.700, 0.000, 0.700], [0.700, 0.700, 0.000], [0.750, 0.250, 0.500], [0.750, 0.500, 0.250]]}